1.
VASP calculation (PBE-GGA) on CaMgAl3 after structural relaxation.

abc: 5.546 5.546 5.546
angles: 90.00 90.00 90.00
Fractional coordinates of all 5 atoms:
Al (0.500, 0.000, 0.000)
Al (0.000, 0.500, 0.000)
Al (0.000, 0.000, 0.500)
Ca (0.000, 0.000, 0.000)
Mg (0.500, 0.500, 0.500)

***

2.
VASP calculation (PBE-GGA) on Ca2MgAl after structural relaxation.

abc: 6.551 6.551 5.468
angles: 64.98 64.98 32.96
Fractional coordinates of all 4 atoms:
Ca (0.969, 0.969, 0.031)
Ca (0.762, 0.762, 0.739)
Mg (0.538, 0.538, 0.461)
Al (0.232, 0.232, 0.270)

***

3.
VASP calculation (PBE-GGA) on CaMgAl2 after structural relaxation.

abc: 5.539 5.539 5.539
angles: 134.19 129.76 70.33
Fractional coordinates of all 4 atoms:
Al (0.774, 0.274, 0.500)
Al (0.964, 0.964, 0.000)
Ca (0.514, 0.514, 0.000)
Mg (0.249, 0.749, 0.500)

***

4.
VASP calculation (PBE-GGA) on Ca2MgAl2 after structural relaxation.

abc: 8.828 8.828 3.616
angles: 90.00 90.00 90.00
Fractional coordinates of all 10 atoms:
Mg (0.000, 0.000, 0.000)
Mg (0.500, 0.500, 0.000)
Al (0.608, 0.892, 0.500)
Al (0.392, 0.108, 0.500)
Al (0.892, 0.392, 0.500)
Al (0.108, 0.608, 0.500)
Ca (0.318, 0.818, 0.000)
Ca (0.682, 0.182, 0.000)
Ca (0.818, 0.682, 0.000)
Ca (0.182, 0.318, 0.000)

***

5.
VASP calculation (PBE-GGA) on CaMgAl2 after structural relaxation.

abc: 5.146 5.146 5.807
angles: 76.26 76.26 40.46
Fractional coordinates of all 4 atoms:
Ca (0.250, 0.250, 0.250)
Al (0.011, 0.011, 0.934)
Al (0.489, 0.489, 0.566)
Mg (0.750, 0.750, 0.750)

***

6.
VASP calculation (PBE-GGA) on Ca6MgAl after structural relaxation.

abc: 5.445 5.445 10.182
angles: 74.49 74.49 90.00
Fractional coordinates of all 8 atoms:
Ca (0.100, 0.600, 0.800)
Ca (0.600, 0.100, 0.800)
Ca (0.250, 0.250, 0.499)
Ca (0.400, 0.900, 0.200)
Ca (0.900, 0.400, 0.200)
Ca (0.750, 0.750, 0.501)
Mg (0.500, 0.500, 0.000)
Al (0.000, 0.000, 0.000)

***

7.
VASP calculation (PBE-GGA) on CaMg4Al2 after structural relaxation.

abc: 5.647 6.026 6.026
angles: 72.32 63.02 63.02
Fractional coordinates of all 7 atoms:
Ca (0.000, 0.000, 0.000)
Mg (0.311, 0.985, 0.392)
Mg (0.311, 0.392, 0.985)
Mg (0.689, 0.608, 0.015)
Mg (0.689, 0.015, 0.608)
Al (0.239, 0.501, 0.501)
Al (0.761, 0.499, 0.499)

***

8.
VASP calculation (PBE-GGA) on CaMg3Al8 after structural relaxation.

abc: 5.512 5.512 8.876
angles: 90.00 90.00 120.00
Fractional coordinates of all 12 atoms:
Mg (0.000, 0.000, 0.939)
Mg (0.667, 0.333, 0.430)
Mg (0.667, 0.333, 0.062)
Al (0.504, 0.496, 0.754)
Al (0.163, 0.326, 0.247)
Al (0.163, 0.837, 0.247)
Al (0.504, 0.008, 0.754)
Al (0.333, 0.667, 0.501)
Al (0.674, 0.837, 0.247)
Al (0.333, 0.667, 0.002)
Al (0.992, 0.496, 0.754)
Ca (0.000, 0.000, 0.565)

***

9.
VASP calculation (PBE-GGA) on Ca2MgAl after structural relaxation.

abc: 7.382 7.382 7.382
angles: 54.51 152.70 133.79
Fractional coordinates of all 4 atoms:
Al (0.000, 0.500, 0.500)
Mg (0.000, 0.000, 0.000)
Ca (0.000, 0.271, 0.271)
Ca (0.000, 0.729, 0.729)

***

10.
VASP calculation (PBE-GGA) on Ca3Mg2Al9 after structural relaxation.

abc: 4.510 8.650 8.650
angles: 70.00 74.89 74.89
Fractional coordinates of all 14 atoms:
Ca (0.298, 0.702, 0.702)
Ca (0.702, 0.298, 0.298)
Ca (0.000, 0.000, 0.000)
Al (0.661, 0.972, 0.705)
Al (0.857, 0.864, 0.423)
Al (0.339, 0.295, 0.028)
Al (0.143, 0.577, 0.136)
Al (0.661, 0.705, 0.972)
Al (0.857, 0.423, 0.864)
Al (0.143, 0.136, 0.577)
Al (0.000, 0.500, 0.500)
Al (0.339, 0.028, 0.295)
Mg (0.500, 0.312, 0.688)
Mg (0.500, 0.688, 0.312)

***

11.
VASP calculation (PBE-GGA) on Ca2MgAl after structural relaxation.

abc: 3.825 3.793 8.649
angles: 63.93 90.00 90.00
Fractional coordinates of all 4 atoms:
Al (0.500, 0.750, 0.750)
Ca (0.000, 0.481, 0.519)
Ca (0.000, 0.019, 0.981)
Mg (0.500, 0.250, 0.250)

***

12.
VASP calculation (PBE-GGA) on Ca2Mg3Al after structural relaxation.

abc: 6.061 6.061 6.085
angles: 89.67 119.91 120.35
Fractional coordinates of all 6 atoms:
Ca (0.745, 0.373, 0.118)
Ca (0.255, 0.627, 0.882)
Al (0.000, 0.000, 0.000)
Mg (0.000, 0.000, 0.500)
Mg (0.500, 0.000, 0.500)
Mg (0.500, 0.500, 0.500)

***

13.
VASP calculation (PBE-GGA) on CaMgAl3 after structural relaxation.

abc: 5.117 5.117 5.117
angles: 90.00 90.00 90.00
Fractional coordinates of all 5 atoms:
Mg (0.000, 0.000, 0.000)
Ca (0.500, 0.500, 0.500)
Al (0.000, 0.000, 0.500)
Al (0.000, 0.500, 0.000)
Al (0.500, 0.000, 0.000)

***

14.
VASP calculation (PBE-GGA) on Ca2MgAl2 after structural relaxation.

abc: 8.293 8.293 3.883
angles: 90.00 90.00 90.00
Fractional coordinates of all 10 atoms:
Mg (0.000, 0.000, 0.000)
Mg (0.500, 0.500, 0.000)
Al (0.386, 0.886, 0.000)
Al (0.114, 0.386, 0.000)
Al (0.886, 0.614, 0.000)
Al (0.614, 0.114, 0.000)
Ca (0.180, 0.680, 0.500)
Ca (0.820, 0.320, 0.500)
Ca (0.680, 0.820, 0.500)
Ca (0.320, 0.180, 0.500)

***

Fermi-level density of states for every record listed, in sequence, given in states/eV per cell: 4.3 2.2 1.6 6.3 2.7 7.2 2.4 4.8 3.3 5.6 2.6 4.5 3.2 6.0.
ΔE_f for every record listed, in sequence, given in eV per atom: 1.125 -0.104 -0.048 0.090 0.016 -0.071 -0.013 -0.103 0.459 -0.199 -0.146 -0.147 0.479 -0.127.